Compound: Ga2HS4
Source: Alexandria via LeMat-Bulk
Functional: PBE-GGA
Structure: relaxed

Lattice parameters (Å, degrees): 5.0091 5.0091 5.2628 90.00 90.00 90.00
Closest atoms and distances in Å follow each position.
Element x y z (fractional)
Ga1 0.0000 0.5000 0.0000  4 S 2.29
Ga2 0.5000 0.0000 0.0000  4 S 2.29
H1 0.0000 0.0000 0.5000  4 S 2.10
S1 0.2458 0.2458 0.7237  1 H 2.10, 2 Ga 2.29
S2 0.2458 0.7542 0.2763  1 H 2.10, 2 Ga 2.29
S3 0.7542 0.2458 0.2763  1 H 2.10, 2 Ga 2.29
S4 0.7542 0.7542 0.7237  1 H 2.10, 2 Ga 2.29

- magnetic moment (Bohr magnetons per cell) = 0.006
- total energy (eV/atom) = -3.875

Compound: GaH2S
Source: Alexandria via LeMat-Bulk
Functional: PBE-GGA
Structure: relaxed

Lattice parameters (Å, degrees): 5.3104 5.3104 5.3104 119.96 119.96 90.07
Closest atoms and distances in Å follow each position.
Element x y z (fractional)
Ga1 0.3750 0.6250 0.7500  12 H 3.11-3.12, 4 Ga 3.25, 4 S 3.25
Ga2 0.6250 0.3750 0.2500  12 H 3.11-3.12, 4 S 3.25, 4 Ga 3.25
H1 0.0000 0.0000 0.0000  2 S 1.63
H2 0.0000 0.0000 0.5000  2 S 1.63
H3 0.0000 0.5000 0.0000  2 S 1.63
H4 0.5000 0.0000 0.5000  2 S 1.63
S1 0.1250 0.8750 0.2500  4 H 1.63
S2 0.8750 0.1250 0.7500  4 H 1.63

- magnetic moment (Bohr magnetons per cell) = 1.730
- E above lowest polymorph (meV per atom) = 0.0

Compound: GaH2S
Source: Alexandria via LeMat-Bulk
Functional: PBE-GGA
Structure: relaxed

Lattice parameters (Å, degrees): 6.2410 6.2410 6.2410 28.78 28.78 28.78
Closest atoms and distances in Å follow each position.
Element x y z (fractional)
Ga1 0.0000 0.0000 0.0000  2 H 2.55
H1 0.1422 0.1422 0.1422  3 S 1.84, 3 H 2.00
H2 0.8578 0.8578 0.8578  3 S 1.84, 3 H 2.00
S1 0.5000 0.5000 0.5000  6 H 1.84

- magnetic moment (Bohr magnetons per cell) = 0.000
- E above lowest polymorph (meV per atom) = 220.6

Compound: GaH3S
Source: Alexandria via LeMat-Bulk
Functional: PBE-GGA
Structure: relaxed

Lattice parameters (Å, degrees): 3.6392 3.6392 3.6392 90.00 90.00 90.00
Closest atoms and distances in Å follow each position.
Element x y z (fractional)
Ga1 0.0000 0.0000 0.0000  6 H 1.82
H1 0.0000 0.0000 0.5000  2 Ga 1.82
H2 0.0000 0.5000 0.0000  2 Ga 1.82
H3 0.5000 0.0000 0.0000  2 Ga 1.82
S1 0.5000 0.5000 0.5000  12 H 2.57

- magnetic moment (Bohr magnetons per cell) = 0.000
- E above lowest polymorph (meV per atom) = 175.1

Compound: Ga2HS
Source: Alexandria via LeMat-Bulk
Functional: PBE-GGA
Structure: relaxed

Lattice parameters (Å, degrees): 4.4718 4.4718 4.4718 60.00 60.00 60.00
Closest atoms and distances in Å follow each position.
Element x y z (fractional)
Ga1 0.2500 0.2500 0.2500  4 S 2.74, 4 H 2.74
Ga2 0.7500 0.7500 0.7500  4 S 2.74, 4 H 2.74
H1 0.0000 0.0000 0.0000  8 Ga 2.74
S1 0.5000 0.5000 0.5000  8 Ga 2.74

- magnetic moment (Bohr magnetons per cell) = 0.000
- E above lowest polymorph (meV per atom) = 247.8

Compound: GaHS6
Source: Alexandria via LeMat-Bulk
Functional: PBE-GGA
Structure: relaxed

Lattice parameters (Å, degrees): 5.3418 5.8331 7.6445 72.53 86.88 65.65
Closest atoms and distances in Å follow each position.
Element x y z (fractional)
Ga1 0.0000 0.0000 0.0000  2 S 2.26
H1 0.0000 0.5000 0.0000  2 S 1.62
S1 0.0442 0.6880 0.8080  1 H 1.62
S2 0.1995 0.6901 0.2723  1 S 2.06, 1 Ga 2.26
S3 0.3334 0.3086 0.2623  2 S 2.06-2.11
S4 0.6666 0.6914 0.7377  2 S 2.06-2.11
S5 0.8005 0.3099 0.7277  1 S 2.06, 1 Ga 2.26
S6 0.9558 0.3120 0.1920  1 H 1.62

- magnetic moment (Bohr magnetons per cell) = 0.000
- total energy (eV/atom) = -3.853

Compound: Ga2HS
Source: Alexandria via LeMat-Bulk
Functional: PBE-GGA
Structure: relaxed

Lattice parameters (Å, degrees): 6.1441 6.1441 6.1441 127.54 127.54 77.37
Closest atoms and distances in Å follow each position.
Element x y z (fractional)
Ga1 0.0528 0.6250 0.9278  2 H 2.05
Ga2 0.3750 0.3028 0.4278  2 H 2.05
Ga3 0.6972 0.1250 0.0722  2 H 2.05
Ga4 0.8750 0.9472 0.5722  2 H 2.05
H1 0.0000 0.0000 0.0000  4 Ga 2.05
H2 0.7500 0.2500 0.5000  4 Ga 2.05
S1 0.2500 0.7500 0.5000  4 Ga 2.52
S2 0.5000 0.5000 0.0000  4 Ga 2.52

- magnetic moment (Bohr magnetons per cell) = 0.000
- E above lowest polymorph (meV per atom) = 0.0

Compound: GaH2S8
Source: Alexandria via LeMat-Bulk
Functional: PBE-GGA
Structure: relaxed

Lattice parameters (Å, degrees): 4.0288 5.0746 13.3526 88.01 84.15 76.50
Closest atoms and distances in Å follow each position.
Element x y z (fractional)
Ga1 0.0000 0.0000 0.0000  4 S 2.36-2.45
H1 0.4901 0.5256 0.3537  1 S 1.38
H2 0.5099 0.4744 0.6463  1 S 1.38
S1 0.0523 0.3648 0.4365  2 S 2.03-2.16
S2 0.2014 0.4020 0.6708  1 H 1.38
S3 0.2893 0.9384 0.1475  1 S 2.05
S4 0.4608 0.2624 0.0840  1 S 2.05
S5 0.5392 0.7376 0.9160  1 S 2.05
S6 0.7107 0.0616 0.8525  1 S 2.05
S7 0.7986 0.5980 0.3292  1 H 1.38
S8 0.9477 0.6352 0.5635  2 S 2.03-2.16

- magnetic moment (Bohr magnetons per cell) = 0.000
- total energy (eV/atom) = -3.836

Compound: Ga3HS
Source: Alexandria via LeMat-Bulk
Functional: PBE-GGA
Structure: relaxed

Lattice parameters (Å, degrees): 4.4144 4.4144 4.4144 90.00 90.00 90.00
Closest atoms and distances in Å follow each position.
Element x y z (fractional)
Ga1 0.0000 0.0000 0.5000  2 H 2.21
Ga2 0.0000 0.5000 0.0000  2 H 2.21
Ga3 0.5000 0.0000 0.0000  2 H 2.21
H1 0.0000 0.0000 0.0000  6 Ga 2.21
S1 0.5000 0.5000 0.5000  12 Ga 3.12

- magnetic moment (Bohr magnetons per cell) = 0.000
- total energy (eV/atom) = -3.101

Compound: GaH2S
Source: Alexandria via LeMat-Bulk
Functional: PBE-GGA
Structure: relaxed

Lattice parameters (Å, degrees): 3.8342 3.8342 3.8342 60.00 60.00 60.00
Closest atoms and distances in Å follow each position.
Element x y z (fractional)
Ga1 0.0000 0.0000 0.0000  8 H 2.35
H1 0.2500 0.2500 0.2500  4 S 2.35, 4 Ga 2.35
H2 0.7500 0.7500 0.7500  4 S 2.35, 4 Ga 2.35
S1 0.5000 0.5000 0.5000  8 H 2.35

- magnetic moment (Bohr magnetons per cell) = 0.000
- E above lowest polymorph (meV per atom) = 392.1

Compound: Ga2H2S3
Source: Alexandria via LeMat-Bulk
Functional: PBE-GGA
Structure: relaxed

Lattice parameters (Å, degrees): 5.5284 6.0493 6.5906 111.14 94.12 115.88
Closest atoms and distances in Å follow each position.
Element x y z (fractional)
Ga1 0.0000 0.0000 0.0000  2 S 2.51
Ga2 0.3902 0.6453 0.2331  2 S 2.59-2.61
H1 0.6309 0.3377 0.5568  1 S 1.38
H2 0.9038 0.2335 0.6314  1 S 1.35
S1 0.5146 0.5965 0.8538  1 S 2.13, 1 H 2.35
S2 0.7936 0.2444 0.4475  2 H 1.35-1.38
S3 0.7996 0.5957 0.0875  1 S 2.13

- magnetic moment (Bohr magnetons per cell) = 0.000
- total energy (eV/atom) = -3.641

Compound: Ti2GaHS
Source: Alexandria via LeMat-Bulk
Functional: PBE-GGA
Structure: relaxed

Lattice parameters (Å, degrees): 4.7645 4.7645 3.1767 90.00 90.00 90.00
Closest atoms and distances in Å follow each position.
Element x y z (fractional)
Ti1 0.0000 0.5000 0.0000  2 S 2.38
Ti2 0.5000 0.0000 0.0000  2 S 2.38
Ga1 0.0000 0.0000 0.5000  8 Ti 2.86, 2 Ga 3.18
H1 0.5000 0.5000 0.5000  2 S 1.59
S1 0.5000 0.5000 0.0000  2 H 1.59

- magnetic moment (Bohr magnetons per cell) = 1.239
- total energy (eV/atom) = -5.427

Compound: Tm4GaHS2
Source: Alexandria via LeMat-Bulk
Functional: PBE-GGA
Structure: relaxed

Lattice parameters (Å, degrees): 6.7216 5.4790 6.7054 66.07 48.17 65.76
Closest atoms and distances in Å follow each position.
Element x y z (fractional)
Tm1 0.2467 0.7533 0.2467  1 H 2.74, 4 S 2.74, 1 Ga 2.78
Tm2 0.5274 0.9868 0.4726  1 H 2.31
Tm3 0.7533 0.2467 0.7533  1 H 2.74, 4 S 2.74, 1 Ga 2.78
Tm4 0.9868 0.5274 0.0132  1 H 2.31
Ga1 0.4863 0.4863 0.5137  6 Tm 2.74-2.78
H1 0.9478 0.9478 0.0522  2 Tm 2.31
S1 0.2506 0.2506 0.2494  6 Tm 2.74-2.75
S2 0.7506 0.7506 0.7494  6 Tm 2.74-2.75

- magnetic moment (Bohr magnetons per cell) = 0.000
- total energy (eV/atom) = -5.196